Entry 1:
The following is a PBE calculation of a relaxed TeSe2Cl crystal, from Alexandria via LeMat-Bulk.

The value obtained for the relative energy among the computed polymorphs is 44 meV/atom. The density of states at the Fermi level is 0.60 states/eV per cell. The formation energy from raw total energies comes out at -9.5 kJ/mol of atoms. As for the crystal system: monoclinic.

Cell lengths 4.0276, 6.9029, 5.2517 Å; angles 54.64, 90.00, 90.00 degrees
Closest atoms and distances in Å follow each position.
Fractional positions:
Se: 0.0000 0.4091 0.4791  1 Se 2.38
Cl: 0.5000 0.7500 0.7500  2 Te 2.88
Te: 0.5000 0.2500 0.2500  4 Se 2.87, 2 Cl 2.88
Se: 0.0000 0.0909 0.0209  1 Se 2.38

---

Entry 2:
The following is a PBE calculation of a relaxed Pr6Dy3Tm2Sc crystal, from Alexandria via LeMat-Bulk.

The density of states at the Fermi level is 12.71 states/eV per cell. Its formation enthalpy at 0 K is 26 meV per atom. As for the crystal system: monoclinic.

Cell lengths 6.2590, 6.2590, 11.7567 Å; angles 95.09, 95.09, 119.99 degrees
Closest atoms and distances in Å follow each position.
Fractional positions:
Pr: 0.0819 0.4127 0.2462  1 Sc 3.52, 2 Tm 3.54, 6 Pr 3.59-3.63, 3 Dy 3.60-3.61
Sc: 0.0000 0.0000 0.0000  6 Pr 3.52, 6 Tm 3.61
Dy: 0.5000 0.5000 0.5000  6 Pr 3.60-3.61, 6 Dy 3.61
Tm: 0.6667 0.3333 0.0000  6 Pr 3.54, 3 Tm 3.61, 3 Sc 3.61
Dy: 0.8333 0.1667 0.5000  6 Pr 3.60-3.61, 6 Dy 3.61-3.62
Dy: 0.1667 0.8333 0.5000  6 Pr 3.60-3.61, 6 Dy 3.61-3.62
Pr: 0.7509 0.7509 0.2464  1 Sc 3.52, 2 Tm 3.54, 6 Pr 3.59-3.63, 3 Dy 3.60-3.61
Tm: 0.3333 0.6667 0.0000  6 Pr 3.54, 3 Tm 3.61, 3 Sc 3.61
Pr: 0.4127 0.0819 0.2462  1 Sc 3.52, 2 Tm 3.54, 6 Pr 3.59-3.63, 3 Dy 3.60-3.61
Pr: 0.2491 0.2491 0.7536  1 Sc 3.52, 2 Tm 3.54, 6 Pr 3.59-3.63, 3 Dy 3.60-3.61
Pr: 0.9181 0.5873 0.7538  1 Sc 3.52, 2 Tm 3.54, 6 Pr 3.59-3.63, 3 Dy 3.60-3.61
Pr: 0.5873 0.9181 0.7538  1 Sc 3.52, 2 Tm 3.54, 6 Pr 3.59-3.63, 3 Dy 3.60-3.61

---

Entry 3:
The following is a PBE calculation of a relaxed CsAg3Cl6 crystal, from Alexandria via LeMat-Bulk.

The density of states at the Fermi level is 3.15 states/eV per cell. The formation energy from raw total energies comes out at -68.2 kJ/mol of atoms. As for the crystal system: triclinic.

Cell lengths 7.1141, 7.0188, 7.6037 Å; angles 97.04, 113.95, 117.45 degrees
Closest atoms and distances in Å follow each position.
Fractional positions:
Ag: 0.2763 0.1485 0.4368  4 Cl 2.41-2.60
Cl: 0.8762 0.0722 0.2017  1 Ag 2.41
Cl: 0.7190 0.3274 0.6794  1 Ag 2.44
Ag: 0.3454 0.6619 0.0034  4 Cl 2.43-2.65
Cl: 0.3251 0.9222 0.8246  2 Ag 2.43-2.63
Cl: 0.4824 0.4533 0.1976  2 Ag 2.44-2.69
Cs: 0.7869 0.8814 0.6943  6 Cl 3.39-3.67
Ag: 0.7195 0.3526 0.0423  5 Cl 2.63-2.85
Cl: 0.3021 0.4249 0.6976  2 Ag 2.48-2.50
Cl: 0.1671 0.7556 0.2223  3 Ag 2.60-2.69